Entry from Alexandria: Zn3Ge5Au12 after structural relaxation (PBE).

Values from the calculation:
final energy: -3.250 eV/atom
D(E_F): 0.12 states/eV per atom
ΔH_f (0 K): 6.0 kJ per mole of atoms

Cell lengths 15.129, 15.129, 15.129 Å; angles 90.00, 90.00, 90.00 degrees
Space group Ia-3d (No. 230)
Inequivalent atoms, fractional coordinates:
1 Zn 0.000 0.250 0.125 [24 per cell]
2 Ge 0.000 0.000 0.000 [16 per cell]
3 Ge 0.000 0.250 0.375 [24 per cell]
4 Au 0.016 0.078 0.651 [96 per cell]

=====

Entry from Alexandria: TaSi2PdN after structural relaxation (PBE).

Values from the calculation:
E_form (uncorrected): 0.08 eV per atom
final energy: -7.160 eV/atom
D(E_F): 0.24 states/eV per atom

Cell lengths 4.108, 4.108, 4.069 Å; angles 90.00, 90.00, 90.00 degrees
Space group P4/mmm (No. 123)
Inequivalent atoms, fractional coordinates:
1 Ta 0.000 0.000 0.000 [1 per cell]
2 Si 0.000 0.500 0.500 [2 per cell]
3 Pd 0.500 0.500 0.000 [1 per cell]
4 N 0.000 0.000 0.500 [1 per cell]

=====

no.,size of the total moment (Bohr magnetons per cell)
1,0.000
2,0.000